Record 1
This record from the Alexandria database describes AlCd3 after structural relaxation. The functional is GGA-PBE.

The structure belongs to space group R-3m (No. 166, hexagonal axes); the cell edges are 9.6975, 9.6975 and 3.2607 Å and the angles 90.00°, 90.00° and 120.00°. The asymmetric unit holds Al at (0.0000, 0.0000, 0.0000) and Cd at (0.0000, 0.5000, 0.0000).

As for the crystal system: trigonal. As for the energy of formation from the pure elements: 0.16 eV per atom.

***

Record 2
This record from the Alexandria database describes Hf4Ge2P after structural relaxation. The functional is GGA-PBE.

The structure belongs to space group I4/mmm (No. 139); the cell edges are 4.629, 4.629 and 14.302 Å and the angles 90.00°, 90.00° and 90.00°. The asymmetric unit holds Hf at (0.000, 0.000, 0.173), Hf at (0.000, 0.500, 0.000), Ge at (0.000, 0.000, 0.363) and P at (0.000, 0.000, 0.000).

As for the crystal system: tetragonal. As for the energy of formation from the pure elements: -0.17 eV per atom. The calculation puts the excess energy over the best structure of this formula in the dataset at 2.55 eV per formula unit.

***

Record 3
This record from the Alexandria database describes Zr2BeSb after structural relaxation. The functional is GGA-PBE.

The structure belongs to space group P2/m (No. 10); the cell edges are 3.607, 3.647 and 5.984 Å and the angles 90.00°, 95.21° and 90.00°. The asymmetric unit holds Zr at (0.031, 0.000, 0.263), Be at (0.500, 0.500, 0.500) and Sb at (0.500, 0.500, 0.000).

As for the crystal system: monoclinic. The calculation puts the excess energy over the best structure of this formula in the dataset at 1.27 eV per formula unit. The uncorrected formation energy comes out at -0.198 eV per atom.

***

Record 4
This record from the Alexandria database describes PrEuGe after structural relaxation. The functional is GGA-PBE.

The structure belongs to space group P3m1 (No. 156); the cell edges are 4.9417, 4.9417 and 4.1666 Å and the angles 90.00°, 90.00° and 120.00°. The asymmetric unit holds Pr at (0.0000, 0.0000, 0.0000), Eu at (0.6667, 0.3333, 0.4450) and Ge at (0.3333, 0.6667, 0.7434).

As for the crystal system: trigonal. As for the energy of formation from the pure elements: -0.37 eV per atom. The calculation puts the excess energy over the best structure of this formula in the dataset at 0.38 eV per formula unit.

***

Result set for density of states at the Fermi level: 1.414 4.333 3.216 2.093 states/eV/f.u., one per record in the order listed.
Result set for raw total energy: -1.466 -7.946 -6.435 -6.928 eV per atom, one per record in the order listed.
Result set for magnetic moment: 0.0 0.0 0.0 7.4 μB per cell, one per record in the order listed.